Entry 1:
Density functional theory data (PBE-GGA) for an optimized crystal structure of ScCrMo2.

Unit cell a=2.6542 b=4.6453 c=5.2005 alpha=90.00 beta=90.00 gamma=90.00
Sites, in units of the cell vectors:
1 Cr 0.5000 0.5000 0.7445
2 Mo 0.5000 0.5000 0.2473
3 Sc 0.0000 0.0000 0.5077
4 Mo 0.0000 0.0000 0.0005

Calculated values
For the formation energy, the calculation gives 397.2 meV/atom. Its crystal system is orthorhombic. For the energy above the most stable polymorph in this dataset, the calculation gives 0.273 eV/atom. Its space-group type is Pmm2 (25).

Entry 2:
Density functional theory data (PBE-GGA) for an optimized crystal structure of LiCaW2.

Unit cell a=4.6378 b=4.6378 c=4.6378 alpha=120.03 beta=120.03 gamma=89.95
Sites, in units of the cell vectors:
1 W 0.0000 0.0000 0.0000
2 W 0.2500 0.7500 0.5000
3 Li 0.7500 0.2500 0.5000
4 Ca 0.5000 0.5000 0.0000

Calculated values
For the formation energy, the calculation gives 764.4 meV/atom. Its crystal system is cubic. For the energy above the most stable polymorph in this dataset, the calculation gives 0.247 eV/atom. Its space-group type is F-43m (216).

Entry 3:
Density functional theory data (PBE-GGA) for an optimized crystal structure of UNi2P3.

Unit cell a=5.1375 b=5.9031 c=5.9031 alpha=93.93 beta=90.00 gamma=90.00
Sites, in units of the cell vectors:
1 Ni 0.5000 0.8438 0.8438
2 P 0.7500 0.2105 0.4551
3 Ni 0.5000 0.1562 0.1562
4 Ni 0.0000 0.8438 0.8438
5 P 0.2500 0.8414 0.1586
6 P 0.7500 0.1586 0.8414
7 U 0.2500 0.3314 0.6686
8 P 0.2500 0.7895 0.5449
9 U 0.7500 0.6686 0.3314
10 P 0.7500 0.5449 0.7895
11 Ni 0.0000 0.1562 0.1562
12 P 0.2500 0.4551 0.2105

Calculated values
For the formation energy, the calculation gives -518.6 meV/atom. Its crystal system is orthorhombic. Its space-group type is Cmcm (63).

Entry 4:
Density functional theory data (PBE-GGA) for an optimized crystal structure of BaTb2Mg.

Unit cell a=3.5905 b=3.5905 c=12.6955 alpha=81.87 beta=81.87 gamma=60.00
Sites, in units of the cell vectors:
1 Tb 0.0975 0.0975 0.7076
2 Tb 0.9025 0.9025 0.2924
3 Ba 0.0000 0.0000 0.0000
4 Mg 0.5000 0.5000 0.5000

Calculated values
For the formation energy, the calculation gives 265.7 meV/atom. Its crystal system is trigonal. For the energy above the most stable polymorph in this dataset, the calculation gives 0.168 eV/atom. Its space-group type is R-3m (166).